DFT (PBE-GGA) results for crystalline Pm4Si5Pd2 at its relaxed geometry.

Summary:
The size of the total moment is 0.0 μB per formula unit. As for the total energy: -5.816 eV per atom. For the density of states at the Fermi level, the calculation gives 0.628 states/eV/atom. The formation energy (no corrections) comes out at -0.680 eV per atom.

Lattice parameters (Å, degrees): 6.9993 4.2283 8.1759 90.00 91.99 90.00
Space group P2/m (No. 10)
Symmetry-distinct sites (fractional):
Pm (0.2373, 0.0000, 0.1303)
Pm (0.2600, 0.0000, 0.6302)
Si (0.1110, 0.5000, 0.8890)
Si (0.4262, 0.5000, 0.3631)
Si (0.5000, 0.5000, 0.0000)
Pd (0.0838, 0.5000, 0.3599)